(1)
Entry from Alexandria: crystalline NbAs4 at its relaxed geometry (GGA-PBE).

a b c (Å): 4.988 4.988 4.988
angles (deg): 90.00 90.00 90.00
Sites, in units of the cell vectors:
Nb1 0.500 0.500 0.500
As1 0.000 0.000 0.000
As2 0.500 0.000 0.500
As3 0.000 0.500 0.500
As4 0.500 0.500 0.000

Output
Calculated formation energy ... 0.58 eV/atom
Magnetization ... 0.02 μB/f.u.
Raw total energy ... -5.152 eV/atom
Space-group type ... No. 221



(2)
Entry from Alexandria: crystalline MgTc at its relaxed geometry (GGA-PBE).

a b c (Å): 2.878 9.625 2.878
angles (deg): 98.60 60.00 98.60
Sites, in units of the cell vectors:
Mg1 0.008 0.023 0.008
Mg2 0.242 0.727 0.242
Tc1 0.493 0.480 0.493
Tc2 0.757 0.270 0.757

Output
Calculated formation energy ... 0.11 eV/atom
Magnetization ... 0.00 μB/f.u.
Raw total energy ... -5.870 eV/atom
Space-group type ... No. 166



(3)
Entry from Alexandria: crystalline Mg2CoRe at its relaxed geometry (GGA-PBE).

a b c (Å): 2.665 2.665 8.571
angles (deg): 90.00 90.00 90.00
Sites, in units of the cell vectors:
Co1 0.500 0.500 0.750
Mg1 0.000 0.000 0.983
Mg2 0.000 0.000 0.517
Re1 0.500 0.500 0.250

Output
Calculated formation energy ... 0.29 eV/atom
Magnetization ... 1.45 μB/f.u.
Raw total energy ... -5.393 eV/atom
Space-group type ... No. 123